# 1
{"formula": "Tb3Al9Zn2", "functional": "PBE", "state": "optimized geometry", "formation_enthalpy_0k_ev_per_atom": -0.370, "volume_a3_per_atom": 19.2, "dos_at_fermi_per_ev_cell": 3.3, "lattice_angstrom": [[4.149, 0.000, 1.114], [1.629, 7.813, 2.214], [0.000, -0.100, 8.282]], "species": ["Al", "Al", "Al", "Al", "Al", "Al", "Al", "Al", "Al", "Zn", "Zn", "Tb", "Tb", "Tb"], "frac_coords": [[0.000, 0.500, 0.500], [0.342, 0.286, 0.031], [0.138, 0.140, 0.585], [0.658, 0.969, 0.714], [0.138, 0.585, 0.140], [0.862, 0.415, 0.860], [0.342, 0.031, 0.286], [0.658, 0.714, 0.969], [0.862, 0.860, 0.415], [0.500, 0.706, 0.294], [0.500, 0.294, 0.706], [0.000, 0.000, 0.000], [0.315, 0.685, 0.685], [0.685, 0.315, 0.315]]}

=====

# 2
{"formula": "Tb12Al3Zn", "functional": "PBE", "state": "optimized geometry", "formation_enthalpy_0k_ev_per_atom": -0.145, "volume_a3_per_atom": 27.2, "dos_at_fermi_per_ev_cell": 23.7, "lattice_angstrom": [[-2.431, -0.095, -4.107], [3.480, -2.583, -2.000], [-8.718, -16.030, 5.530]], "species": ["Tb", "Tb", "Tb", "Tb", "Tb", "Tb", "Tb", "Tb", "Tb", "Tb", "Tb", "Tb", "Zn", "Al", "Al", "Al"], "frac_coords": [[0.500, 0.000, 0.625], [0.000, 0.500, 0.875], [0.500, 0.000, 0.375], [0.500, 0.500, 0.751], [0.500, 0.500, 0.500], [0.500, 0.000, 0.875], [0.000, 0.500, 0.375], [0.000, 0.500, 0.625], [0.500, 0.000, 0.125], [0.500, 0.500, 0.000], [0.500, 0.500, 0.249], [0.000, 0.500, 0.125], [0.000, 0.000, 0.000], [0.000, 0.000, 0.500], [0.000, 0.000, 0.751], [0.000, 0.000, 0.249]]}